The following is a DFT calculation (PBE) of an optimized crystal structure of TlAuCl2.

Properties
Crystal system: monoclinic
Formation energy (no corrections) (meV per atom): -235
Total moment (μB/cell): 0.0
Energy above the most stable polymorph in this dataset (meV per atom): 391
Symmetry: No. 12

a b c (Å): 5.457 5.457 3.773
angles (deg): 103.93 103.93 91.07
Fractional coordinates of all 4 atoms:
1 Tl 0.000 0.000 0.000
2 Au 0.500 0.500 0.000
3 Cl 0.000 0.500 0.500
4 Cl 0.500 0.000 0.500